Entry 1:
VASP calculation (PBE) on a geometry-optimized NaV3W structure.

## Properties
Energy relative to the elements: 1377 meV per atom
DOS(E_F): 1.660 states/eV/atom

abc: 4.7068 4.7068 4.7068
angles: 90.00 90.00 90.00
Space group Pm-3m (No. 221)
Inequivalent atoms, fractional coordinates:
Na (0.0000, 0.0000, 0.0000) (multiplicity 1)
V (0.0000, 0.5000, 0.5000) (multiplicity 3)
W (0.5000, 0.5000, 0.5000) (multiplicity 1)



Entry 2:
VASP calculation (PBE) on a geometry-optimized Na2YV structure.

## Properties
E above lowest polymorph: 129 meV per atom
Energy relative to the elements: 858 meV per atom
DOS(E_F): 1.306 states/eV/atom

abc: 7.5644 7.5644 7.5644
angles: 90.00 90.00 90.00
Space group Fm-3m (No. 225)
Inequivalent atoms, fractional coordinates:
Na (0.2500, 0.2500, 0.2500) (multiplicity 8)
Y (0.0000, 0.0000, 0.0000) (multiplicity 4)
V (0.0000, 0.0000, 0.5000) (multiplicity 4)



Entry 3:
VASP calculation (PBE) on a geometry-optimized Na2YV structure.

## Properties
E above lowest polymorph: 0 meV per atom
Energy relative to the elements: 728 meV per atom
DOS(E_F): 1.179 states/eV/atom

abc: 4.2732 4.2732 24.7430
angles: 90.00 90.00 90.00
Space group I-42d (No. 122)
Inequivalent atoms, fractional coordinates:
Na (0.2296, 0.2500, 0.1250) (multiplicity 8)
Y (0.0000, 0.0000, 0.5000) (multiplicity 4)
V (0.0000, 0.0000, 0.0000) (multiplicity 4)



Entry 4:
VASP calculation (PBE) on a geometry-optimized NaY2V structure.

## Properties
E above lowest polymorph: 0 meV per atom
Energy relative to the elements: 440 meV per atom
DOS(E_F): 1.397 states/eV/atom

abc: 7.5228 7.5228 7.5228
angles: 90.00 90.00 90.00
Space group Fm-3m (No. 225)
Inequivalent atoms, fractional coordinates:
Na (0.0000, 0.0000, 0.0000) (multiplicity 4)
Y (0.2500, 0.2500, 0.2500) (multiplicity 8)
V (0.0000, 0.0000, 0.5000) (multiplicity 4)



Entry 5:
VASP calculation (PBE) on a geometry-optimized NaY2V structure.

## Properties
E above lowest polymorph: 304 meV per atom
Energy relative to the elements: 744 meV per atom
DOS(E_F): 0.604 states/eV/atom

abc: 8.2279 8.2279 6.5448
angles: 90.00 90.00 90.00
Space group I-42d (No. 122)
Inequivalent atoms, fractional coordinates:
Na (0.0000, 0.0000, 0.0000) (multiplicity 4)
Y (0.2325, 0.2500, 0.6250) (multiplicity 8)
V (0.0000, 0.0000, 0.5000) (multiplicity 4)



Entry 6:
VASP calculation (PBE) on a geometry-optimized NaYZr2V structure.

## Properties
Energy relative to the elements: 644 meV per atom
DOS(E_F): 1.238 states/eV/atom

abc: 4.9533 4.9533 5.6299
angles: 90.00 90.00 90.00
Space group P4/mmm (No. 123)
Inequivalent atoms, fractional coordinates:
Na (0.0000, 0.0000, 0.0000) (multiplicity 1)
Y (0.5000, 0.5000, 0.0000) (multiplicity 1)
Zr (0.0000, 0.5000, 0.5000) (multiplicity 2)
V (0.5000, 0.5000, 0.5000) (multiplicity 1)



Entry 7:
VASP calculation (PBE) on a geometry-optimized Na3VZn structure.

## Properties
E above lowest polymorph: 147 meV per atom
Energy relative to the elements: 1030 meV per atom
DOS(E_F): 1.676 states/eV/atom

abc: 5.8181 5.8181 5.8181
angles: 90.00 90.00 90.00
Space group Pm-3m (No. 221)
Inequivalent atoms, fractional coordinates:
Na (0.0000, 0.0000, 0.5000) (multiplicity 3)
V (0.0000, 0.0000, 0.0000) (multiplicity 1)
Zn (0.5000, 0.5000, 0.5000) (multiplicity 1)



Entry 8:
VASP calculation (PBE) on a geometry-optimized NaV2Zn structure.

## Properties
Energy relative to the elements: 884 meV per atom
DOS(E_F): 1.166 states/eV/atom

abc: 3.6279 3.6279 20.3401
angles: 90.00 90.00 90.00
Space group I-42d (No. 122)
Inequivalent atoms, fractional coordinates:
Na (0.0000, 0.0000, 0.0000) (multiplicity 4)
V (0.2236, 0.7500, 0.6250) (multiplicity 8)
Zn (0.0000, 0.0000, 0.5000) (multiplicity 4)



One value per record, in order, for total DFT energy (no corrections): -6.95; -3.70; -3.83; -5.40; -5.10; -6.16; -1.84; -4.32 eV per atom.